The following is a GGA-PBE calculation of a geometry-optimized Ag2RuSe structure, from Alexandria via LeMat-Bulk.

## Properties
Its uncorrected formation energy is 14.0 kJ per mole of atoms.

Unit cell a=3.070 b=3.070 c=27.341 alpha=90.00 beta=90.00 gamma=120.00
Fractional coordinates of all 12 atoms:
Ag  0.000  0.000  0.000
Ag  0.000  0.000  0.249
Ag  0.333  0.667  0.667
Ag  0.333  0.667  0.915
Ag  0.667  0.333  0.333
Ag  0.667  0.333  0.582
Ru  0.000  0.000  0.751
Ru  0.333  0.667  0.417
Ru  0.667  0.333  0.084
Se  0.000  0.000  0.476
Se  0.333  0.667  0.143
Se  0.667  0.333  0.810